No. 1
# Tb6Nd12Er

A geometry-optimized Tb6Nd12Er structure (PBE, Alexandria via LeMat-Bulk).

For the total energy, the calculation gives -87.049 eV/cell. The energy relative to the elements is 0.132 eV/atom. For the energy relative to the lowest polymorph listed for this composition, the calculation gives 0 meV per atom.

Cell: 8.6990 8.6990 8.6990 Å, 88.99 88.99 88.99°
Last column: nearest neighbours and their distance in Å.
Fractional positions:
1 Tb 0.7401 0.9019 0.2971  7 Nd 3.39-3.74, 1 Er 3.51, 2 Tb 3.55
2 Tb 0.7029 0.2599 0.0981  7 Nd 3.39-3.74, 1 Er 3.51, 2 Tb 3.55
3 Tb 0.0981 0.7029 0.2599  7 Nd 3.39-3.74, 1 Er 3.51, 2 Tb 3.55
4 Tb 0.2599 0.0981 0.7029  7 Nd 3.39-3.74, 1 Er 3.51, 2 Tb 3.55
5 Tb 0.2971 0.7401 0.9019  7 Nd 3.39-3.74, 1 Er 3.51, 2 Tb 3.55
6 Tb 0.9019 0.2971 0.7401  7 Nd 3.39-3.74, 1 Er 3.51, 2 Tb 3.55
7 Nd 0.7809 0.5367 0.4337  6 Nd 3.36-3.77, 3 Tb 3.39-3.52
8 Nd 0.4337 0.7809 0.5367  6 Nd 3.36-3.77, 3 Tb 3.39-3.52
9 Nd 0.5367 0.4337 0.7809  6 Nd 3.36-3.77, 3 Tb 3.39-3.52
10 Nd 0.2191 0.4633 0.5663  6 Nd 3.36-3.77, 3 Tb 3.39-3.52
11 Nd 0.5663 0.2191 0.4633  6 Nd 3.36-3.77, 3 Tb 3.39-3.52
12 Nd 0.4633 0.5663 0.2191  6 Nd 3.36-3.77, 3 Tb 3.39-3.52
13 Nd 0.0176 0.1932 0.3619  4 Nd 3.49-3.66, 4 Tb 3.55-3.74, 1 Er 3.60
14 Nd 0.8068 0.6381 0.9824  4 Nd 3.49-3.66, 4 Tb 3.55-3.74, 1 Er 3.60
15 Nd 0.6381 0.9824 0.8068  4 Nd 3.49-3.66, 4 Tb 3.55-3.74, 1 Er 3.60
16 Nd 0.9824 0.8068 0.6381  4 Nd 3.49-3.66, 4 Tb 3.55-3.74, 1 Er 3.60
17 Nd 0.1932 0.3619 0.0176  4 Nd 3.49-3.66, 4 Tb 3.55-3.74, 1 Er 3.60
18 Nd 0.3619 0.0176 0.1932  4 Nd 3.49-3.66, 4 Tb 3.55-3.74, 1 Er 3.60
19 Er 0.0000 0.0000 0.0000  6 Tb 3.51, 6 Nd 3.60

---

No. 2
# KPtSe2

A geometry-optimized KPtSe2 structure (PBE, Alexandria via LeMat-Bulk).

Its uncorrected formation energy is -24 meV/atom. For the total energy, the calculation gives -14.204 eV/cell.

Cell: 8.6178 8.6178 8.6178 Å, 25.87 25.87 25.87°
Last column: nearest neighbours and their distance in Å.
Fractional positions:
1 K 0.4999 0.4999 0.4999  3 Se 3.21, 3 Pt 3.53
2 Pt 0.7234 0.7234 0.7234  3 Se 2.43
3 Se 0.0174 0.0174 0.0174  3 Pt 2.43
4 Se 0.2592 0.2592 0.2592  3 Se 3.19, 3 K 3.21

---

No. 3
# TmSn2Bi

A geometry-optimized TmSn2Bi structure (PBE, Alexandria via LeMat-Bulk).

For the total energy, the calculation gives -17.426 eV/cell. The energy relative to the elements is -0.267 eV/atom. For the energy relative to the lowest polymorph listed for this composition, the calculation gives 39 meV per atom.

Cell: 4.1561 4.1561 6.4082 Å, 90.00 90.00 90.00°
Last column: nearest neighbours and their distance in Å.
Fractional positions:
1 Tm 0.5000 0.5000 0.0000  2 Bi 3.20, 8 Sn 3.31
2 Bi 0.5000 0.5000 0.5000  2 Tm 3.20, 8 Sn 3.38
3 Sn 0.0000 0.0000 0.7611  2 Sn 3.06-3.35, 4 Tm 3.31, 4 Bi 3.38
4 Sn 0.0000 0.0000 0.2389  2 Sn 3.06-3.35, 4 Tm 3.31, 4 Bi 3.38

---

No. 4
# SiGeOs2

A geometry-optimized SiGeOs2 structure (PBE, Alexandria via LeMat-Bulk).

Its uncorrected formation energy is -62 meV/atom. For the total energy, the calculation gives -32.748 eV/cell. For the energy relative to the lowest polymorph listed for this composition, the calculation gives 21 meV per atom.

Cell: 4.2570 4.2570 4.2570 Å, 60.00 60.00 60.00°
Last column: nearest neighbours and their distance in Å.
Fractional positions:
1 Ge 0.5000 0.5000 0.5000  8 Os 2.61
2 Os 0.2500 0.2500 0.2500  4 Ge 2.61, 4 Si 2.61
3 Os 0.7500 0.7500 0.7500  4 Si 2.61, 4 Ge 2.61
4 Si 0.0000 0.0000 0.0000  8 Os 2.61

---

No. 5
# LaCuRe2

A geometry-optimized LaCuRe2 structure (PBE, Alexandria via LeMat-Bulk).

For the total energy, the calculation gives -30.725 eV/cell. The energy relative to the elements is 0.799 eV/atom. For the energy relative to the lowest polymorph listed for this composition, the calculation gives 678 meV per atom.

Cell: 5.5873 5.5873 5.5873 Å, 138.89 138.89 59.55°
Last column: nearest neighbours and their distance in Å.
Fractional positions:
1 Cu 0.2500 0.7500 0.5000  4 La 2.77
2 La 0.7500 0.2500 0.5000  4 Cu 2.77
3 Re 0.0000 0.0000 0.0000  4 Re 2.77
4 Re 0.5000 0.5000 0.0000  4 Re 2.77

---

No. 6
# Sr2LiBe

A geometry-optimized Sr2LiBe structure (PBE, Alexandria via LeMat-Bulk).

For the total energy, the calculation gives -7.668 eV/cell. The energy relative to the elements is 0.334 eV/atom.

Cell: 3.7666 3.7666 8.7029 Å, 90.00 90.00 90.00°
Last column: nearest neighbours and their distance in Å.
Fractional positions:
1 Be 0.0000 0.0000 0.5548  4 Li 2.86
2 Li 0.5000 0.5000 0.6760  4 Be 2.86, 1 Sr 3.02
3 Sr 0.0000 0.0000 0.9404  1 Be 3.36, 4 Li 3.52
4 Sr 0.5000 0.5000 0.3287  1 Li 3.02, 4 Be 3.31